# PmPuGe

PmPuGe after structural relaxation (PBE, the Alexandria database).

Results
formation enthalpy at 0 K = -261 meV per atom
crystal system = cubic
E above lowest polymorph = 0 meV per atom
DOS(E_F) = 8.3 states/eV/f.u.

Unit cell a=7.0688 b=7.0688 c=7.0688 alpha=90.00 beta=90.00 gamma=90.00
Last column: nearest neighbours and their distance in Å.
Fractional positions:
Pm 0.0000 0.0000 0.0000  4 Ge 3.06
Pm 0.0000 0.5000 0.5000  4 Ge 3.06
Pm 0.5000 0.0000 0.5000  4 Ge 3.06
Pm 0.5000 0.5000 0.0000  4 Ge 3.06
Pu 0.0000 0.0000 0.5000  4 Ge 3.06
Pu 0.0000 0.5000 0.0000  4 Ge 3.06
Pu 0.5000 0.0000 0.0000  4 Ge 3.06
Pu 0.5000 0.5000 0.5000  4 Ge 3.06
Ge 0.2500 0.2500 0.2500  4 Pm 3.06, 4 Pu 3.06
Ge 0.2500 0.7500 0.7500  4 Pm 3.06, 4 Pu 3.06
Ge 0.7500 0.2500 0.7500  4 Pm 3.06, 4 Pu 3.06
Ge 0.7500 0.7500 0.2500  4 Pm 3.06, 4 Pu 3.06